No. 1
An optimized crystal structure of SrY3As, computed with GGA-PBE.

Unit cell a=5.612 b=5.612 c=5.612 alpha=90.00 beta=90.00 gamma=90.00
Fractional coordinates of all 5 atoms:
Sr 0.000 0.000 0.000
Y 0.000 0.500 0.500
Y 0.500 0.000 0.500
Y 0.500 0.500 0.000
As 0.500 0.500 0.500

Values from the calculation:
The value obtained for the formation energy is -0.35 eV/atom. As for the space group: Pm-3m.

No. 2
An optimized crystal structure of Tb5Zn4Hg, computed with GGA-PBE.

Unit cell a=3.597 b=3.597 c=18.231 alpha=90.00 beta=90.00 gamma=90.00
Fractional coordinates of all 10 atoms:
Tb 0.000 0.000 0.000
Tb 0.000 0.000 0.195
Tb 0.000 0.000 0.389
Tb 0.000 0.000 0.611
Tb 0.000 0.000 0.805
Zn 0.500 0.500 0.098
Zn 0.500 0.500 0.292
Zn 0.500 0.500 0.708
Zn 0.500 0.500 0.902
Hg 0.500 0.500 0.500

Values from the calculation:
The value obtained for the formation energy is -0.37 eV/atom. As for the space group: P4/mmm.

No. 3
An optimized crystal structure of CrH3Ru, computed with GGA-PBE.

Unit cell a=3.302 b=3.302 c=3.302 alpha=90.00 beta=90.00 gamma=90.00
Fractional coordinates of all 5 atoms:
Cr 0.000 0.000 0.000
H 0.000 0.000 0.500
H 0.000 0.500 0.000
H 0.500 0.000 0.000
Ru 0.500 0.500 0.500

Values from the calculation:
As for the space group: Pm-3m.

No. 4
An optimized crystal structure of Sc2TiSi, computed with GGA-PBE.

Unit cell a=4.238 b=4.238 c=4.126 alpha=90.00 beta=90.00 gamma=90.00
Fractional coordinates of all 4 atoms:
Sc 0.000 0.500 0.000
Sc 0.500 0.000 0.000
Ti 0.000 0.000 0.500
Si 0.500 0.500 0.500

Values from the calculation:
For the raw formation energy, the calculation gives -319 meV/atom. As for the space group: P4/mmm.

No. 5
An optimized crystal structure of Re2MoCl, computed with GGA-PBE.

Unit cell a=5.331 b=5.331 c=5.331 alpha=139.58 beta=139.58 gamma=58.49
Fractional coordinates of all 4 atoms:
Re 0.250 0.750 0.500
Re 0.750 0.250 0.500
Mo 0.000 0.000 0.000
Cl 0.500 0.500 0.000

Values from the calculation:
For the raw formation energy, the calculation gives 1203 meV/atom. As for the space group: I4/mmm.

No. 6
An optimized crystal structure of ZrCu2Ni, computed with GGA-PBE.

Unit cell a=4.774 b=4.774 c=4.774 alpha=133.31 beta=132.83 gamma=68.54
Fractional coordinates of all 4 atoms:
Zr 0.000 0.000 0.000
Cu 0.251 0.751 0.500
Cu 0.749 0.249 0.500
Ni 0.500 0.500 0.000

Values from the calculation:
The value obtained for the formation energy is -0.17 eV/atom. As for the space group: Immm.

Number 1: total energy -5.50 eV per atom. Number 2: total energy -3.22 eV per atom. Number 3: total energy -5.37 eV per atom. Number 4: total energy -6.81 eV per atom. Number 5: total energy -8.19 eV per atom. Number 6: total energy -5.80 eV per atom.